Crystalline ZnCdF4 at its relaxed geometry. Source: the Alexandria database, functional PBE.

## Properties
N(E_F), states/eV/atom: 0.000
Energy relative to the elements, uncorrected, kJ per mole of atoms: -215.8
Energy relative to the lowest polymorph listed for this composition, meV/atom: 11

a b c (Å): 5.216 5.461 5.461
angles (deg): 90.00 90.00 90.00
Atoms (fractional coordinates):
Zn (0.000, 0.000, 0.000)
Zn (0.000, 0.500, 0.500)
Cd (0.500, 0.000, 0.502)
Cd (0.500, 0.500, 0.002)
F (0.248, 0.193, 0.195)
F (0.248, 0.307, 0.695)
F (0.252, 0.692, 0.311)
F (0.252, 0.808, 0.811)
F (0.748, 0.192, 0.811)
F (0.748, 0.308, 0.311)
F (0.752, 0.693, 0.695)
F (0.752, 0.807, 0.195)